! ZnSb2Cl8 (GGA-PBE, optimized geometry); values from VASP
&SYSTEM
  ibrav = 0, nat = 11, ntyp = 3
/
ATOMIC_SPECIES
Zn 65.41 Zn.upf
Sb 121.76 Sb.upf
Cl 35.45 Cl.upf
ATOMIC_POSITIONS crystal
Zn 0.000 0.000 0.000
Sb 0.475 0.257 0.257
Sb 0.525 0.743 0.743
Cl 0.666 0.057 0.673
Cl 0.334 0.327 0.943
Cl 0.868 0.148 0.148
Cl 0.132 0.852 0.852
Cl 0.666 0.673 0.057
Cl 0.334 0.943 0.327
Cl 0.259 0.391 0.391
Cl 0.741 0.609 0.609
CELL_PARAMETERS angstrom
-5.205 3.944 3.747
-0.031 -5.679 4.846
5.431 1.471 4.907
! ΔE_f (raw): -0.879 eV per atom
! Energy relative to the lowest polymorph listed for this composition: 12 meV/atom